Entry 1:
Computed, not measured: crystalline Ba2HgIr at its relaxed geometry at the PBE level of DFT.

Cell: 3.947 3.864 9.257 Å, 65.33 90.00 90.00°
Positions (direct):
1 Hg 0.500 0.250 0.250
2 Ba 0.000 0.039 0.960
3 Ir 0.500 0.750 0.750
4 Ba 0.000 0.461 0.540

Total energy, eV per cell: -13.68
DOS(E_F), states/eV per atom: 0.93
Symmetry: Pmmm (47)
ρ, kg/m3: 8641

=====

Entry 2:
Computed, not measured: crystalline BaHgIr3 at its relaxed geometry at the PBE level of DFT.

Cell: 5.166 5.166 5.166 Å, 90.00 90.00 90.00°
Each line ends with the local moment (μB).
Positions (direct):
1 Ba 0.000 0.000 0.000  -0.02
2 Ir 0.000 0.000 0.500  0.31
3 Ir 0.000 0.500 0.000  0.46
4 Hg 0.500 0.500 0.500  0.01
5 Ir 0.500 0.000 0.000  0.42

Total energy, eV per cell: -15.41
DOS(E_F), states/eV per atom: 1.50
Symmetry: Pm-3m (221)
ρ, kg/m3: 11018

=====

Entry 3:
Computed, not measured: crystalline Ba5Hg2Ir2 at its relaxed geometry at the PBE level of DFT.

Cell: 8.518 8.497 9.905 Å, 90.00 64.53 90.00°
Positions (direct):
1 Ir 0.109 0.392 0.000
2 Ba 0.555 0.824 0.242
3 Ba 0.702 0.324 0.242
4 Ba 0.298 0.676 0.758
5 Ba 0.202 0.176 0.242
6 Ir 0.609 0.108 0.000
7 Hg 0.217 0.000 0.566
8 Ba 0.055 0.676 0.242
9 Ir 0.891 0.608 0.000
10 Ba 0.798 0.824 0.758
11 Ir 0.391 0.892 0.000
12 Ba 0.445 0.176 0.758
13 Hg 0.717 0.500 0.566
14 Ba 0.000 0.000 0.000
15 Hg 0.783 0.000 0.434
16 Ba 0.500 0.500 0.000
17 Hg 0.283 0.500 0.434
18 Ba 0.945 0.324 0.758

Total energy, eV per cell: -60.26
DOS(E_F), states/eV per atom: 0.75
Symmetry: Cmce (64)
ρ, kg/m3: 7555

=====

Entry 4:
Computed, not measured: crystalline BaHgIr3 at its relaxed geometry at the PBE level of DFT.

Cell: 5.073 5.073 5.073 Å, 90.00 90.00 90.00°
Each line ends with the local moment (μB).
Positions (direct):
1 Ir 0.000 0.500 0.000  0.73
2 Ir 0.000 0.000 0.500  0.81
3 Ir 0.500 0.000 0.000  0.47
4 Hg 0.000 0.000 0.000  0.01
5 Ba 0.500 0.500 0.500  -0.01

Total energy, eV per cell: -21.59
DOS(E_F), states/eV per atom: 1.59
Symmetry: Pm-3m (221)
ρ, kg/m3: 11630

=====

Entry 5:
Computed, not measured: crystalline Ba3HgIr at its relaxed geometry at the PBE level of DFT.

Cell: 4.710 9.429 9.631 Å, 111.98 90.00 90.00°
Positions (direct):
1 Hg 0.750 0.646 0.805
2 Ba 0.750 0.302 0.910
3 Ba 0.750 0.074 0.232
4 Ba 0.250 0.337 0.579
5 Hg 0.250 0.354 0.195
6 Ir 0.250 0.970 0.460
7 Ba 0.250 0.926 0.768
8 Ba 0.250 0.698 0.090
9 Ba 0.750 0.663 0.421
10 Ir 0.750 0.030 0.540

Total energy, eV per cell: -32.59
DOS(E_F), states/eV per atom: 1.24
Symmetry: P2_1/m (11)
ρ, kg/m3: 6739

=====

Entry 6:
Computed, not measured: crystalline Ba2HgIr at its relaxed geometry at the PBE level of DFT.

Cell: 6.257 6.257 6.257 Å, 135.07 135.07 65.42°
Positions (direct):
1 Ir 0.750 0.250 0.500
2 Hg 0.500 0.500 0.000
3 Ba 0.250 0.750 0.500
4 Ba 0.000 0.000 0.000

Total energy, eV per cell: -12.76
DOS(E_F), states/eV per atom: 0.60
Symmetry: I-4m2 (119)
ρ, kg/m3: 9206

=====

It is found that the total magnetic moment values, taken in the order of the records, are 0.0, 1.2, 0.0, 2.0, 0.0, 0.0 μB per cell.
It is found that the calculated volume values, taken in the order of the records, are 32.07, 27.57, 35.96, 26.12, 39.66, 30.10 Å³/atom.